No. 1
This record from Alexandria describes ScTiTeN2 after structural relaxation. The functional is GGA-PBEsol.

Properties
Formation energy without anion corrections = -235 meV per atom
N(E_F) = 2.3 states/eV/cell
V = 84 Å³/f.u.
E = -7.337 eV per atom

Cell: 3.951 3.951 5.404 Å, 90.00 90.00 90.00°
Element x y z (fractional)
Sc1 0.500 0.500 0.500
N1 0.000 0.500 0.000
N2 0.500 0.000 0.000
Te1 0.000 0.000 0.500
Ti1 0.000 0.000 0.000



No. 2
This record from Alexandria describes ScTi9N9 after structural relaxation. The functional is GGA-PBEsol.

Properties
Formation energy without anion corrections = -1896 meV per atom
N(E_F) = 7.6 states/eV/cell
V = 189 Å³/f.u.
E = -10.225 eV per atom

Cell: 5.171 5.987 6.701 Å, 77.09 75.08 73.16°
Element x y z (fractional)
Sc1 0.500 0.000 0.000
Ti1 0.892 0.604 0.190
Ti2 0.103 0.899 0.793
Ti3 0.897 0.101 0.207
Ti4 0.108 0.396 0.810
Ti5 0.315 0.704 0.399
Ti6 0.309 0.192 0.394
Ti7 0.685 0.296 0.601
Ti8 0.500 0.500 0.000
Ti9 0.691 0.808 0.606
N1 0.807 0.693 0.898
N2 0.807 0.205 0.896
N3 0.193 0.795 0.104
N4 0.000 0.000 0.500
N5 0.398 0.103 0.693
N6 0.193 0.307 0.102
N7 0.597 0.401 0.301
N8 0.403 0.599 0.699
N9 0.602 0.897 0.307



No. 3
This record from Alexandria describes ScTiN3 after structural relaxation. The functional is GGA-PBEsol.

Properties
Formation energy without anion corrections = -520 meV per atom
N(E_F) = 3.9 states/eV/cell
V = 57 Å³/f.u.
E = -8.621 eV per atom

Cell: 3.852 3.852 3.852 Å, 90.00 90.00 90.00°
Element x y z (fractional)
Sc1 0.500 0.500 0.500
N1 0.000 0.500 0.000
N2 0.000 0.000 0.500
N3 0.500 0.000 0.000
Ti1 0.000 0.000 0.000



No. 4
This record from Alexandria describes ScTiW2N after structural relaxation. The functional is GGA-PBEsol.

Properties
Formation energy without anion corrections = -351 meV per atom
N(E_F) = 3.5 states/eV/cell
V = 73 Å³/f.u.
E = -10.564 eV per atom

Cell: 4.087 4.087 4.383 Å, 90.00 90.00 90.00°
Element x y z (fractional)
Sc1 0.000 0.000 0.500
N1 0.000 0.000 0.000
W1 0.000 0.500 0.000
W2 0.500 0.000 0.000
Ti1 0.500 0.500 0.500



No. 5
This record from Alexandria describes Y2ScTlN after structural relaxation. The functional is GGA-PBEsol.

Properties
Formation energy without anion corrections = -1114 meV per atom
N(E_F) = 2.1 states/eV/cell
V = 101 Å³/f.u.
E = -7.395 eV per atom

Cell: 4.466 4.749 4.749 Å, 90.00 90.00 90.00°
Element x y z (fractional)
Y1 0.000 0.000 0.500
Y2 0.000 0.500 0.000
Sc1 0.500 0.000 0.000
Tl1 0.500 0.500 0.500
N1 0.000 0.000 0.000



No. 6
This record from Alexandria describes YScN2 after structural relaxation. The functional is GGA-PBEsol.

Properties
Formation energy without anion corrections = -1942 meV per atom
N(E_F) = 0.1 states/eV/cell
V = 51 Å³/f.u.
E = -9.562 eV per atom

Cell: 3.302 3.302 5.716 Å, 73.21 73.21 60.00°
Element x y z (fractional)
Y1 0.000 0.000 0.000
Sc1 0.500 0.500 0.500
N1 0.245 0.245 0.264
N2 0.755 0.755 0.736